# 1
First-principles (PBE-GGA) data for crystalline YErAl4Pd2 at its relaxed geometry, as listed in the Open Quantum Materials Database.

abc: 6.945 5.524 5.524
angles: 45.71 90.00 90.00
Fractional coordinates of all 8 atoms:
Al 0.697 0.141 0.141
Pd 0.000 0.290 0.290
Pd 0.500 0.710 0.710
Al 0.196 0.859 0.859
Al 0.303 0.141 0.141
Y 0.500 0.428 0.428
Er 0.000 0.572 0.572
Al 0.804 0.859 0.859

=====

# 2
First-principles (PBE-GGA) data for crystalline Pr2Er2Al at its relaxed geometry, as listed in the Open Quantum Materials Database.

abc: 6.901 6.901 6.901
angles: 148.66 109.92 78.76
Fractional coordinates of all 5 atoms:
Pr 0.251 0.751 0.500
Pr 0.749 0.249 0.500
Al 0.000 0.000 0.000
Er 0.703 0.500 0.203
Er 0.297 0.500 0.797

=====

# 3
First-principles (PBE-GGA) data for crystalline ErAlPt at its relaxed geometry, as listed in the Open Quantum Materials Database.

abc: 4.559 4.559 4.559
angles: 60.00 60.00 60.00
Fractional coordinates of all 3 atoms:
Al 0.250 0.250 0.250
Pt 0.000 0.000 0.000
Er 0.750 0.750 0.750

=====

# 4
First-principles (PBE-GGA) data for crystalline ErAlPt at its relaxed geometry, as listed in the Open Quantum Materials Database.

abc: 5.278 4.431 10.621
angles: 90.00 90.00 90.00
Fractional coordinates of all 12 atoms:
Al 0.151 0.250 0.161
Er 0.645 0.750 0.129
Pt 0.650 0.750 0.452
Er 0.355 0.250 0.871
Al 0.651 0.250 0.339
Pt 0.850 0.250 0.952
Er 0.855 0.250 0.629
Pt 0.350 0.250 0.548
Al 0.349 0.750 0.661
Al 0.849 0.750 0.839
Er 0.145 0.750 0.371
Pt 0.150 0.750 0.048

=====

# 5
First-principles (PBE-GGA) data for crystalline Er4Al24Pt9 at its relaxed geometry, as listed in the Open Quantum Materials Database.

abc: 7.515 7.517 13.139
angles: 100.95 95.47 60.11
Fractional coordinates of all 37 atoms:
Al 0.668 0.316 0.952
Al 0.667 0.479 0.438
Al 0.001 0.186 0.559
Pt 0.991 0.888 0.639
Er 0.999 0.267 0.808
Al 0.131 0.808 0.816
Pt 0.009 0.112 0.361
Al 0.333 0.521 0.562
Al 0.001 0.352 0.056
Al 0.869 0.192 0.184
Al 0.664 0.602 0.183
Er 0.668 0.938 0.808
Al 0.333 0.147 0.441
Pt 0.329 0.328 0.000
Al 0.999 0.814 0.441
Pt 0.333 0.204 0.639
Al 0.660 0.230 0.670
Al 0.336 0.398 0.817
Al 0.667 0.853 0.559
Pt 0.675 0.546 0.637
Al 0.994 0.444 0.329
Al 0.340 0.770 0.330
Al 0.335 0.883 0.671
Al 0.006 0.556 0.671
Pt 0.671 0.672 0.000
Al 0.999 0.648 0.944
Al 0.666 0.018 0.056
Al 0.458 0.397 0.184
Er 0.332 0.062 0.192
Al 0.665 0.117 0.329
Pt 0.325 0.454 0.363
Al 0.332 0.684 0.048
Pt 0.667 0.796 0.361
Er 0.001 0.733 0.192
Pt 0.000 0.000 0.000
Al 0.542 0.603 0.816
Al 0.334 0.982 0.944

=====

# 6
First-principles (PBE-GGA) data for crystalline ErAlPt at its relaxed geometry, as listed in the Open Quantum Materials Database.

abc: 4.644 4.644 4.644
angles: 60.00 60.00 60.00
Fractional coordinates of all 3 atoms:
Er 0.000 0.000 0.000
Pt 0.750 0.750 0.750
Al 0.250 0.250 0.250

=====

# 7
First-principles (PBE-GGA) data for crystalline ErAlPt at its relaxed geometry, as listed in the Open Quantum Materials Database.

abc: 6.849 4.403 7.735
angles: 90.00 90.00 90.00
Fractional coordinates of all 12 atoms:
Al 0.353 0.750 0.936
Er 0.472 0.750 0.317
Al 0.647 0.250 0.064
Al 0.147 0.250 0.436
Er 0.528 0.250 0.683
Pt 0.271 0.250 0.114
Pt 0.771 0.250 0.386
Pt 0.729 0.750 0.886
Er 0.972 0.750 0.183
Pt 0.229 0.750 0.614
Er 0.028 0.250 0.817
Al 0.853 0.750 0.564

=====

# 8
First-principles (PBE-GGA) data for crystalline ErSc2Al3Si2Pt at its relaxed geometry, as listed in the Open Quantum Materials Database.

abc: 4.111 6.734 6.734
angles: 120.54 90.00 90.00
Fractional coordinates of all 9 atoms:
Si 0.500 0.327 0.669
Si 0.500 0.669 0.327
Sc 0.000 0.997 0.417
Sc 0.000 0.417 0.997
Al 0.500 0.759 0.002
Al 0.500 0.002 0.759
Er 0.000 0.579 0.579
Pt 0.000 0.009 0.009
Al 0.500 0.242 0.242

=====

# 9
First-principles (PBE-GGA) data for crystalline TbEr2Al3Si2Pt at its relaxed geometry, as listed in the Open Quantum Materials Database.

abc: 4.213 6.889 6.889
angles: 120.04 90.00 90.00
Fractional coordinates of all 9 atoms:
Al 0.500 0.763 0.001
Er 0.000 0.417 0.999
Tb 0.000 0.582 0.582
Pt 0.000 0.003 0.003
Al 0.500 0.001 0.763
Al 0.500 0.237 0.237
Si 0.500 0.667 0.331
Er 0.000 0.999 0.417
Si 0.500 0.331 0.667

=====

# 10
First-principles (PBE-GGA) data for crystalline ErTm2Al3Si2Pt at its relaxed geometry, as listed in the Open Quantum Materials Database.

abc: 4.195 6.845 6.845
angles: 120.02 90.00 90.00
Fractional coordinates of all 9 atoms:
Si 0.500 0.333 0.667
Tm 0.000 0.000 0.417
Tm 0.000 0.417 0.000
Al 0.500 0.000 0.762
Al 0.500 0.238 0.238
Si 0.500 0.667 0.333
Pt 0.000 0.001 0.001
Er 0.000 0.582 0.582
Al 0.500 0.762 0.000

=====

| no. | VASP energy (eV/atom) | size of the total moment (μB/f.u.) |
| --- | --- | --- |
| 1 | -5.346 | 0.03 |
| 2 | -4.508 | 0.62 |
| 3 | -5.689 | 0.41 |
| 4 | -5.760 | 0.00 |
| 5 | -5.304 | 0.01 |
| 6 | -4.962 | 0.00 |
| 7 | -5.967 | 0.00 |
| 8 | -5.915 | 0.00 |
| 9 | -5.534 | 0.00 |
| 10 | -5.507 | 0.03 |